No. 1
Tb5ErTl3, optimized geometry, DFT PBE-GGA; DOS at the Fermi energy = 1.22 states/eV per atom; V = 514.9 Å³/cell; space-group type = P6_3/mcm, No. 193; energy relative to the elements = -0.26 eV per atom
1.0
6.735 0.000 0.000
0.000 9.398 0.000
0.000 -4.699 8.135
Tb Er Tl
10 2 6
direct
0.000 0.667 0.333
0.500 0.333 0.667
0.000 0.333 0.667
0.500 0.667 0.333
0.750 0.666 0.666
0.750 0.000 0.334
0.750 0.334 0.000
0.250 0.334 0.334
0.250 0.000 0.666
0.250 0.666 0.000
0.000 0.000 0.000
0.500 0.000 0.000
0.750 0.331 0.331
0.750 0.000 0.669
0.750 0.669 0.000
0.250 0.669 0.669
0.250 0.000 0.331
0.250 0.331 0.000


No. 2
Tb7Er3Tl2, optimized geometry, DFT PBE-GGA; DOS at the Fermi energy = 0.98 states/eV per atom; V = 370.8 Å³/cell; space-group type = P2/m, No. 10; energy relative to the elements = -0.01 eV per atom
1.0
-2.249 -1.811 -2.158
3.184 -4.577 0.524
-10.551 -4.174 14.495
Tb Er Tl
7 3 2
direct
0.500 0.741 0.459
0.500 0.259 0.541
0.000 0.662 0.147
0.000 0.000 0.000
0.000 0.338 0.853
0.500 0.836 0.827
0.500 0.164 0.173
0.500 0.500 0.000
0.000 0.222 0.367
0.000 0.778 0.633
0.500 0.700 0.293
0.500 0.300 0.707


No. 3
Tb3Er4Tl, optimized geometry, DFT PBE-GGA; DOS at the Fermi energy = 1.27 states/eV per atom; V = 242.4 Å³/cell; space-group type = P4/mmm, No. 123; energy relative to the elements = -0.07 eV per atom
1.0
3.556 0.000 0.000
0.000 3.556 0.000
0.000 0.000 19.163
Tl Tb Er
1 3 4
direct
0.500 0.500 0.000
0.500 0.500 0.239
0.500 0.500 0.500
0.500 0.500 0.761
0.000 0.000 0.890
0.000 0.000 0.110
0.000 0.000 0.370
0.000 0.000 0.630


No. 4
Tb8Er2Tl, optimized geometry, DFT PBE-GGA; DOS at the Fermi energy = 1.47 states/eV per atom; V = 344.0 Å³/cell; space-group type = C2/m, No. 12; energy relative to the elements = 0.02 eV per atom
1.0
-4.315 2.646 -1.771
-1.868 -6.365 -4.957
-1.249 -1.586 8.790
Tb Er Tl
8 2 1
direct
0.392 0.567 0.783
0.669 0.905 0.338
0.838 0.795 0.677
0.981 0.273 0.962
0.162 0.205 0.323
0.331 0.095 0.662
0.608 0.433 0.217
0.019 0.727 0.038
0.801 0.350 0.602
0.199 0.650 0.398
0.500 0.000 0.000


No. 5
Tb4ErTl5, optimized geometry, DFT PBE-GGA; DOS at the Fermi energy = 0.82 states/eV per atom; V = 274.4 Å³/cell; space-group type = P4/mmm, No. 123; energy relative to the elements = -0.35 eV per atom
1.0
-3.316 0.194 -1.775
0.670 -3.336 -1.615
-8.504 -8.927 14.912
Tb Er Tl
4 1 5
direct
0.000 0.000 0.198
0.000 0.000 0.399
0.000 0.000 0.601
0.000 0.000 0.802
0.000 0.000 0.000
0.500 0.500 0.097
0.500 0.500 0.299
0.500 0.500 0.500
0.500 0.500 0.701
0.500 0.500 0.903


No. 6
Tb7ErTl2, optimized geometry, DFT PBE-GGA; DOS at the Fermi energy = 1.91 states/eV per atom; V = 381.8 Å³/cell; space-group type = Cmmm, No. 65; energy relative to the elements = 0.36 eV per atom
1.0
5.279 0.000 0.000
0.000 9.104 -0.250
0.000 -4.241 8.060
Tb Er Tl
7 1 2
direct
0.000 0.776 0.224
0.000 0.224 0.776
0.500 0.063 0.301
0.500 0.937 0.699
0.500 0.301 0.063
0.500 0.699 0.937
0.500 0.500 0.500
0.000 0.000 0.000
0.500 0.693 0.307
0.500 0.307 0.693